Sm4Ge3S12 | GGA-PBE | relaxed

Lattice parameters (Å, degrees): 19.3463 19.3463 7.9106 90.00 90.00 120.00
Space group R3c (No. 161, hexagonal axes)
Asymmetric unit:
Sm  0.0000  0.0000  0.0000 x6
Sm  0.0067  0.2349  0.2159 x18
Ge  0.1466  0.4680  0.3292 x18
S  0.0631  0.3914  0.5327 x18
S  0.0893  0.2023  0.5033 x18
S  0.1230  0.0584  0.2498 x18
S  0.1518  0.3785  0.1618 x18

Results
The raw total energy comes out at -105.78 eV/f.u. The total magnetization comes out at 0.02 μB per cell.

---

ZnS | GGA-PBE | relaxed

Lattice parameters (Å, degrees): 3.5794 3.5794 6.5658 90.00 90.00 90.00
Space group P4_2/mmc (No. 131)
Asymmetric unit:
Zn  0.0000  0.5000  0.0000 x2
S  0.0000  0.0000  0.2500 x2

Results
The raw total energy comes out at -6.05 eV/f.u.

---

SrPrCuTe3 | GGA-PBE | relaxed

Lattice parameters (Å, degrees): 8.8814 4.4084 10.3464 90.00 103.09 90.00
Space group P2_1/m (No. 11)
Asymmetric unit:
Sr  0.2122  0.2500  0.2839 x2
Pr  0.3115  0.7500  0.8395 x2
Cu  0.0752  0.2500  0.5878 x2
Te  0.0618  0.2500  0.8454 x2
Te  0.2303  0.7500  0.5286 x2
Te  0.4278  0.7500  0.1610 x2

Results
The raw total energy comes out at -26.76 eV/f.u. The total magnetization comes out at 0.00 μB per cell.